Ca2InGe3Ir4: relaxed, PBE-GGA.

Unit cell a=4.237 b=4.237 c=10.691 alpha=90.00 beta=90.00 gamma=90.00
Atoms (fractional coordinates):
Ca: 0.000 0.500 0.239
Ca: 0.500 0.000 0.761
In: 0.000 0.000 0.500
Ge: 0.000 0.500 0.876
Ge: 0.500 0.000 0.124
Ge: 0.500 0.500 0.500
Ir: 0.000 0.000 0.000
Ir: 0.000 0.500 0.646
Ir: 0.500 0.000 0.354
Ir: 0.500 0.500 0.000

Crystal system ... tetragonal
Space group ... No. 115


KCaInGe2: relaxed, PBE-GGA.

Unit cell a=5.551 b=5.551 c=5.690 alpha=90.00 beta=90.00 gamma=90.00
Atoms (fractional coordinates):
K: 0.000 0.000 0.000
Ca: 0.500 0.500 0.500
In: 0.000 0.000 0.500
Ge: 0.000 0.500 0.000
Ge: 0.500 0.000 0.000

Crystal system ... tetragonal
Space group ... No. 123


CaLaInGe: relaxed, PBE-GGA.

Unit cell a=5.389 b=5.389 c=5.389 alpha=60.00 beta=60.00 gamma=60.00
Atoms (fractional coordinates):
Ca: 0.000 0.000 0.000
La: 0.500 0.500 0.500
In: 0.250 0.250 0.250
Ge: 0.750 0.750 0.750

Crystal system ... cubic
Space group ... No. 216


| no. | uncorrected energy (eV for the cell shown) | size of the total moment (μB/f.u.) | ΔE_f (eV per atom) |
| --- | --- | --- | --- |
| 1 | -61.5 | 0.00 | -0.55 |
| 2 | -10.9 | 0.00 | 0.82 |
| 3 | -16.3 | 0.00 | -0.51 |